Entry 1:
Compound: VHg2I
Source: Alexandria via LeMat-Bulk
Functional: PBE
Structure: relaxed

Results
For the spin magnetization, the calculation gives 0.968 μB per atom. The calculated volume comes out at 109 Å³ per cell. The density of states at the Fermi level comes out at 0.99 states/eV per atom. The calculation puts the polymorph energy (0 for the lowest one) at 0.360 eV per atom. Its formation energy (no corrections) is 0.67 eV per atom.

Lattice parameters (Å, degrees): 5.356 5.356 5.356 60.00 60.00 60.00
Each line ends with the local moment (μB).
Fractional positions:
I (0.500, 0.500, 0.500)  -0.04
Hg (0.250, 0.250, 0.250)  0.00
Hg (0.750, 0.750, 0.750)  0.00
V (0.000, 0.000, 0.000)  3.10

Entry 2:
Compound: YVHgI2
Source: Alexandria via LeMat-Bulk
Functional: PBE
Structure: relaxed

Results
For the spin magnetization, the calculation gives 0.463 μB per atom. The calculated volume comes out at 163 Å³ per cell. The density of states at the Fermi level comes out at 0.61 states/eV per atom. Its formation energy (no corrections) is 0.17 eV per atom.

Lattice parameters (Å, degrees): 5.413 5.570 5.413 90.00 90.00 90.00
Each line ends with the local moment (μB).
Fractional positions:
I (0.000, 0.000, 0.500)  -0.01
I (0.500, 0.000, 0.000)  0.04
Y (0.000, 0.500, 0.000)  -0.01
Hg (0.500, 0.500, 0.500)  0.00
V (0.000, 0.000, 0.000)  1.99

Entry 3:
Compound: HgW3I
Source: Alexandria via LeMat-Bulk
Functional: PBE
Structure: relaxed

Results
For the spin magnetization, the calculation gives 0.000 μB per atom. The calculated volume comes out at 116 Å³ per cell. The density of states at the Fermi level comes out at 0.80 states/eV per atom. The calculation puts the polymorph energy (0 for the lowest one) at 0.000 eV per atom. Its formation energy (no corrections) is 2.73 eV per atom.

Lattice parameters (Å, degrees): 4.877 4.877 4.877 90.00 90.00 90.00
Fractional positions:
I (0.000, 0.000, 0.000)
Hg (0.500, 0.500, 0.500)
W (0.000, 0.500, 0.000)
W (0.000, 0.000, 0.500)
W (0.500, 0.000, 0.000)

Entry 4:
Compound: HgWI2
Source: Alexandria via LeMat-Bulk
Functional: PBE
Structure: relaxed

Results
For the spin magnetization, the calculation gives 0.000 μB per atom. The calculated volume comes out at 315 Å³ per cell. The density of states at the Fermi level comes out at 1.17 states/eV per atom. The calculation puts the polymorph energy (0 for the lowest one) at 0.000 eV per atom. Its formation energy (no corrections) is 0.81 eV per atom.

Lattice parameters (Å, degrees): 8.240 8.240 7.452 56.43 56.43 90.00
Fractional positions:
I (0.516, 0.125, 0.250)
I (0.234, 0.625, 0.250)
I (0.375, 0.484, 0.750)
I (0.875, 0.766, 0.750)
Hg (0.000, 0.000, 0.000)
Hg (0.750, 0.250, 0.500)
W (0.500, 0.500, 0.000)
W (0.250, 0.750, 0.500)

Entry 5:
Compound: Hg2WI
Source: Alexandria via LeMat-Bulk
Functional: PBE
Structure: relaxed

Results
For the spin magnetization, the calculation gives 1.082 μB per atom. The calculated volume comes out at 106 Å³ per cell. The density of states at the Fermi level comes out at 0.60 states/eV per atom. The calculation puts the polymorph energy (0 for the lowest one) at 0.250 eV per atom. Its formation energy (no corrections) is 1.43 eV per atom.

Lattice parameters (Å, degrees): 5.308 5.308 5.308 60.00 60.00 60.00
Each line ends with the local moment (μB).
Fractional positions:
I (0.000, 0.000, 0.000)  0.10
Hg (0.250, 0.250, 0.250)  0.02
Hg (0.750, 0.750, 0.750)  0.02
W (0.500, 0.500, 0.500)  3.02

Entry 6:
Compound: HgWI3
Source: Alexandria via LeMat-Bulk
Functional: PBE
Structure: relaxed

Results
For the spin magnetization, the calculation gives 0.970 μB per atom. The calculated volume comes out at 202 Å³ per cell. The density of states at the Fermi level comes out at 3.04 states/eV per atom. The calculation puts the polymorph energy (0 for the lowest one) at 0.931 eV per atom. Its formation energy (no corrections) is 1.37 eV per atom.

Lattice parameters (Å, degrees): 5.864 5.864 5.864 90.00 90.00 90.00
Each line ends with the local moment (μB).
Fractional positions:
I (0.000, 0.500, 0.000)  -0.04
I (0.000, 0.000, 0.500)  -0.01
I (0.500, 0.000, 0.000)  -0.04
Hg (0.000, 0.000, 0.000)  0.01
W (0.500, 0.500, 0.500)  3.55

Entry 7:
Compound: Hg2WI
Source: Alexandria via LeMat-Bulk
Functional: PBE
Structure: relaxed

Results
For the spin magnetization, the calculation gives 0.852 μB per atom. The calculated volume comes out at 207 Å³ per cell. The density of states at the Fermi level comes out at 0.49 states/eV per atom. The calculation puts the polymorph energy (0 for the lowest one) at 0.000 eV per atom. Its formation energy (no corrections) is 1.18 eV per atom.

Lattice parameters (Å, degrees): 4.264 4.264 11.771 79.56 79.56 90.00
Each line ends with the local moment (μB).
Fractional positions:
I (0.500, 0.500, 0.000)  0.03
I (0.250, 0.750, 0.500)  0.03
Hg (0.646, 0.125, 0.250)  -0.01
Hg (0.104, 0.625, 0.250)  -0.01
Hg (0.375, 0.354, 0.750)  -0.01
Hg (0.875, 0.896, 0.750)  -0.01
W (0.000, 0.000, 0.000)  2.56
W (0.750, 0.250, 0.500)  2.56

Entry 8:
Compound: HgWI2
Source: Alexandria via LeMat-Bulk
Functional: PBE
Structure: relaxed

Results
For the spin magnetization, the calculation gives 0.000 μB per atom. The calculated volume comes out at 96 Å³ per cell. The density of states at the Fermi level comes out at 0.35 states/eV per atom. The calculation puts the polymorph energy (0 for the lowest one) at 0.428 eV per atom. Its formation energy (no corrections) is 1.23 eV per atom.

Lattice parameters (Å, degrees): 5.132 5.132 5.132 60.00 60.00 60.00
Fractional positions:
I (0.250, 0.250, 0.250)
I (0.750, 0.750, 0.750)
Hg (0.500, 0.500, 0.500)
W (0.000, 0.000, 0.000)

Entry 9:
Compound: HgWI3
Source: Alexandria via LeMat-Bulk
Functional: PBE
Structure: relaxed

Results
For the spin magnetization, the calculation gives 0.600 μB per atom. The calculated volume comes out at 180 Å³ per cell. The density of states at the Fermi level comes out at 0.74 states/eV per atom. The calculation puts the polymorph energy (0 for the lowest one) at 0.000 eV per atom. Its formation energy (no corrections) is 0.44 eV per atom.

Lattice parameters (Å, degrees): 5.648 5.648 5.648 90.00 90.00 90.00
Each line ends with the local moment (μB).
Fractional positions:
I (0.000, 0.500, 0.000)  0.02
I (0.000, 0.000, 0.500)  0.03
I (0.500, 0.000, 0.000)  0.04
Hg (0.500, 0.500, 0.500)  -0.03
W (0.000, 0.000, 0.000)  2.27

Entry 10:
Compound: HgW3I
Source: Alexandria via LeMat-Bulk
Functional: PBE
Structure: relaxed

Results
For the spin magnetization, the calculation gives 0.000 μB per atom. The calculated volume comes out at 126 Å³ per cell. The density of states at the Fermi level comes out at 1.79 states/eV per atom. The calculation puts the polymorph energy (0 for the lowest one) at 0.493 eV per atom. Its formation energy (no corrections) is 3.23 eV per atom.

Lattice parameters (Å, degrees): 5.013 5.013 5.013 90.00 90.00 90.00
Fractional positions:
I (0.500, 0.500, 0.500)
Hg (0.000, 0.000, 0.000)
W (0.000, 0.500, 0.000)
W (0.000, 0.000, 0.500)
W (0.500, 0.000, 0.000)

Entry 11:
Compound: Y2HgI6
Source: Alexandria via LeMat-Bulk
Functional: PBE
Structure: relaxed

Results
For the spin magnetization, the calculation gives 0.000 μB per atom. The calculated volume comes out at 506 Å³ per cell. The density of states at the Fermi level comes out at 0.00 states/eV per atom. Its formation energy (no corrections) is -1.24 eV per atom.

Lattice parameters (Å, degrees): 7.722 7.722 9.807 90.00 90.00 120.00
Fractional positions:
Y (0.667, 0.333, 0.500)
Y (0.333, 0.667, 0.500)
Hg (0.000, 0.000, 0.000)
I (0.360, 0.360, 0.319)
I (0.000, 0.360, 0.681)
I (0.360, 0.000, 0.681)
I (0.000, 0.640, 0.319)
I (0.640, 0.640, 0.681)
I (0.640, 0.000, 0.319)

Entry 12:
Compound: Y2HgI
Source: Alexandria via LeMat-Bulk
Functional: PBE
Structure: relaxed

Results
For the spin magnetization, the calculation gives 0.000 μB per atom. The calculated volume comes out at 318 Å³ per cell. The density of states at the Fermi level comes out at 1.22 states/eV per atom. The calculation puts the polymorph energy (0 for the lowest one) at 0.493 eV per atom. Its formation energy (no corrections) is -0.09 eV per atom.

Lattice parameters (Å, degrees): 6.445 6.445 8.917 68.82 68.82 90.00
Fractional positions:
I (0.500, 0.500, 0.000)
I (0.250, 0.750, 0.500)
Y (0.662, 0.125, 0.250)
Y (0.088, 0.625, 0.250)
Y (0.375, 0.338, 0.750)
Y (0.875, 0.912, 0.750)
Hg (0.000, 0.000, 0.000)
Hg (0.750, 0.250, 0.500)

Question: What is the spin magnetization in the first record?
Answer: 0.968 μB per atom